This record from the Alexandria database describes CsMgOs3 at its PBEsol-relaxed geometry. The functional is meta-GGA SCAN.

Output
As for the symmetry: Pm-3m. The relative energy among the computed polymorphs is 1.080 eV per atom. Its magnetic moment is 1.38 Bohr magnetons per cell.

Cell and atoms, written as POSCAR:
```
CsMgOs3
1.0
4.881 0.000 0.000
0.000 4.881 0.000
0.000 0.000 4.881
Cs Mg Os
1 1 3
Cartesian
0.000 0.000 0.000 Cs
2.440 2.440 2.440 Mg
0.000 0.000 2.440 Os
0.000 2.440 0.000 Os
2.440 0.000 0.000 Os
```